Entry from Alexandria: an optimized crystal structure of Cs6I3Br2F (PBE).

raw total energy: -3.0222 eV/atom
volume: 50.7 Å³ per atom
M_tot: 0.00 μB per cell
D(E_F): 0.000 states/eV per atom
raw formation energy: -1773 meV/atom

Cell lengths 9.038, 15.557, 9.164 Å; angles 90.00, 109.29, 90.00 degrees
Space group C2/m (No. 12)
One atom of each set of equivalent atoms:
Cs 0.223 0.152 0.215 (multiplicity 8)
Cs 0.233 0.000 0.775 (multiplicity 4)
I 0.000 0.176 0.500 (multiplicity 4)
I 0.000 0.500 0.500 (multiplicity 2)
Br 0.000 0.335 0.000 (multiplicity 4)
F 0.000 0.000 0.000 (multiplicity 2)